Record 1
A relaxed structure of PrYSb2Rh5, computed with PBE.

a = 4.4854 Å, b = 4.4854 Å, c = 9.0005 Å
α = 90.00°, β = 90.00°, γ = 90.00°
Fractional coordinates of all 9 atoms:
Pr (0.0000, 0.0000, 0.0000)
Y (0.0000, 0.0000, 0.5000)
Sb (0.5000, 0.5000, 0.3430)
Sb (0.5000, 0.5000, 0.6570)
Rh (0.0000, 0.5000, 0.2190)
Rh (0.0000, 0.5000, 0.7810)
Rh (0.5000, 0.0000, 0.2190)
Rh (0.5000, 0.0000, 0.7810)
Rh (0.5000, 0.5000, 0.0000)

Output
- formation energy from raw total energies (eV per atom) = -0.513

Record 2
A relaxed structure of HfHg2Pd, computed with PBE.

a = 10.4868 Å, b = 10.4868 Å, c = 10.4868 Å
α = 17.01°, β = 17.01°, γ = 17.01°
Fractional coordinates of all 4 atoms:
Hf (0.0000, 0.0000, 0.0000)
Hg (0.0942, 0.0942, 0.0942)
Hg (0.9058, 0.9058, 0.9058)
Pd (0.5000, 0.5000, 0.5000)

Output
- relative energy among the computed polymorphs (meV per atom) = 377
- DFT formation energy (kcal/mol of atoms) = 5.33

Record 3
A relaxed structure of ZnSi2Cl, computed with PBE.

a = 2.9815 Å, b = 2.9815 Å, c = 7.8415 Å
α = 90.00°, β = 90.00°, γ = 90.00°
Fractional coordinates of all 4 atoms:
Zn (0.0000, 0.0000, 0.0000)
Si (0.5000, 0.5000, 0.2307)
Si (0.5000, 0.5000, 0.7693)
Cl (0.0000, 0.0000, 0.5000)

Output
- relative energy among the computed polymorphs (meV per atom) = 446
- formation energy from raw total energies (eV per atom) = 0.440

Record 4
A relaxed structure of HfAl4Re2, computed with PBE.

a = 7.3647 Å, b = 7.3647 Å, c = 7.3647 Å
α = 140.79°, β = 140.79°, γ = 56.66°
Fractional coordinates of all 7 atoms:
Hf (0.0000, 0.0000, 0.0000)
Al (0.0000, 0.5000, 0.5000)
Al (0.2090, 0.2090, 0.0000)
Al (0.5000, 0.0000, 0.5000)
Al (0.7910, 0.7910, 0.0000)
Re (0.4115, 0.4115, 0.0000)
Re (0.5885, 0.5885, 0.0000)

Output
- DFT formation energy (kcal/mol of atoms) = 26.11

Record 5
A relaxed structure of CsK3NaHg, computed with PBE.

a = 9.4438 Å, b = 9.4438 Å, c = 9.6874 Å
α = 90.00°, β = 90.00°, γ = 112.01°
Fractional coordinates of all 12 atoms:
Cs (0.2212, 0.7788, 0.7500)
Cs (0.7788, 0.2212, 0.2500)
K (0.2683, 0.2683, 0.0000)
K (0.2683, 0.2683, 0.5000)
K (0.3111, 0.6889, 0.2500)
K (0.6889, 0.3111, 0.7500)
K (0.7317, 0.7317, 0.0000)
K (0.7317, 0.7317, 0.5000)
Na (0.0693, 0.9307, 0.2500)
Na (0.9307, 0.0693, 0.7500)
Hg (0.4587, 0.5413, 0.7500)
Hg (0.5413, 0.4587, 0.2500)

Output
- DFT formation energy (kcal/mol of atoms) = -0.39

Record 6
A relaxed structure of BaTcAs, computed with PBE.

a = 6.4494 Å, b = 6.4494 Å, c = 6.4494 Å
α = 149.51°, β = 149.51°, γ = 43.66°
Fractional coordinates of all 3 atoms:
Ba (0.0000, 0.0000, 0.0000)
Tc (0.7048, 0.7048, 0.0000)
As (0.2842, 0.2842, 0.0000)

Output
- relative energy among the computed polymorphs (meV per atom) = 400
- DFT formation energy (kcal/mol of atoms) = -2.29

Record 7
A relaxed structure of Tb4ScAg5, computed with PBE.

a = 3.5780 Å, b = 3.5780 Å, c = 18.3475 Å
α = 90.00°, β = 90.00°, γ = 90.00°
Fractional coordinates of all 10 atoms:
Tb (0.0000, 0.0000, 0.1023)
Tb (0.0000, 0.0000, 0.3071)
Tb (0.0000, 0.0000, 0.6929)
Tb (0.0000, 0.0000, 0.8977)
Sc (0.0000, 0.0000, 0.5000)
Ag (0.5000, 0.5000, 0.0000)
Ag (0.5000, 0.5000, 0.2047)
Ag (0.5000, 0.5000, 0.4126)
Ag (0.5000, 0.5000, 0.5874)
Ag (0.5000, 0.5000, 0.7953)

Output
- DFT formation energy (kcal/mol of atoms) = -6.96

Record 8
A relaxed structure of VRuRh, computed with PBE.

a = 4.2398 Å, b = 4.2398 Å, c = 5.3389 Å
α = 90.00°, β = 90.00°, γ = 120.00°
Fractional coordinates of all 6 atoms:
V (0.3333, 0.6667, 0.2500)
V (0.6667, 0.3333, 0.7500)
Ru (0.3333, 0.6667, 0.7500)
Ru (0.6667, 0.3333, 0.2500)
Rh (0.0000, 0.0000, 0.0000)
Rh (0.0000, 0.0000, 0.5000)

Output
- relative energy among the computed polymorphs (meV per atom) = 28
- DFT formation energy (kcal/mol of atoms) = -5.89

Record 9
A relaxed structure of PmGdSb2, computed with PBE.

a = 5.7605 Å, b = 5.7605 Å, c = 3.3760 Å
α = 90.00°, β = 90.00°, γ = 90.00°
Fractional coordinates of all 4 atoms:
Pm (0.0000, 0.0000, 0.0000)
Gd (0.5000, 0.5000, 0.0000)
Sb (0.0000, 0.5000, 0.5000)
Sb (0.5000, 0.0000, 0.5000)

Output
- relative energy among the computed polymorphs (meV per atom) = 259
- formation energy from raw total energies (eV per atom) = -0.916

Record 10
A relaxed structure of Nb2NiSnH, computed with PBE.

a = 4.0160 Å, b = 4.0160 Å, c = 4.3695 Å
α = 90.00°, β = 90.00°, γ = 90.00°
Fractional coordinates of all 5 atoms:
Nb (0.0000, 0.5000, 0.0000)
Nb (0.5000, 0.0000, 0.0000)
Ni (0.0000, 0.0000, 0.5000)
Sn (0.5000, 0.5000, 0.5000)
H (0.0000, 0.0000, 0.0000)

Output
- total DFT energy (no corrections) (eV/atom) = -6.84

Record 11
A relaxed structure of Sc2CdIrAu, computed with PBE.

a = 4.9050 Å, b = 4.9050 Å, c = 5.2044 Å
α = 90.00°, β = 90.00°, γ = 90.00°
Fractional coordinates of all 5 atoms:
Sc (0.0000, 0.5000, 0.0000)
Sc (0.5000, 0.0000, 0.0000)
Cd (0.0000, 0.0000, 0.5000)
Ir (0.5000, 0.5000, 0.0000)
Au (0.5000, 0.5000, 0.5000)

Output
- DFT formation energy (kcal/mol of atoms) = -2.97

Record 12
A relaxed structure of Tb5AlZn4, computed with PBE.

a = 3.5746 Å, b = 3.5746 Å, c = 18.1453 Å
α = 90.00°, β = 90.00°, γ = 90.00°
Fractional coordinates of all 10 atoms:
Tb (0.0000, 0.0000, 0.0000)
Tb (0.0000, 0.0000, 0.1981)
Tb (0.0000, 0.0000, 0.3963)
Tb (0.0000, 0.0000, 0.6037)
Tb (0.0000, 0.0000, 0.8019)
Al (0.5000, 0.5000, 0.5000)
Zn (0.5000, 0.5000, 0.0998)
Zn (0.5000, 0.5000, 0.2971)
Zn (0.5000, 0.5000, 0.7029)
Zn (0.5000, 0.5000, 0.9002)

Output
- DFT formation energy (kcal/mol of atoms) = -8.08

What did we get for DOS at the Fermi energy? Answer: 5.35 2.64 2.04 7.26 4.73 1.00 4.74 1.54 2.73 1.84 2.50 10.97 states/eV/f.u., in the order shown.